BaLiCrO3 | PBE with a Hubbard U | relaxed

Cell and atoms, written as POSCAR:
```
BaLiCrO3
1.0
3.3085 0.0000 0.0000
0.0000 6.7757 -0.3555
0.0000 -2.1235 7.0698
Ba Li Cr O
2 2 2 6
direct
0.2500 0.2227 0.2556
0.7500 0.7773 0.7444
0.2500 0.0963 0.5991
0.7500 0.9037 0.4009
0.2500 0.6716 0.1490
0.7500 0.3284 0.8510
0.7500 0.8660 0.1365
0.2500 0.1340 0.8635
0.2500 0.7906 0.4432
0.7500 0.2094 0.5568
0.7500 0.4740 0.1410
0.2500 0.5260 0.8590
```

Results
energy: -6.47 eV/atom
theoretical density: 5.200 g/cm³
size of the total moment: 0.5000 μB per atom